Run i
VASP calculation (GGA-PBE) on BaTe2PbI after structural relaxation.

Cell and atoms, written as POSCAR:
```
BaTe2PbI
1.0
5.949 0.000 0.000
0.000 5.949 0.000
0.000 0.000 6.154
Pb I Te Ba
1 1 2 1
direct
0.000 0.000 0.000
0.000 0.000 0.500
0.000 0.500 0.000
0.500 0.000 0.000
0.500 0.500 0.500
```

The space-group type is P4/mmm, No. 123.

---

Run ii
VASP calculation (GGA-PBE) on BaTe2PbI after structural relaxation.

Cell and atoms, written as POSCAR:
```
BaTe2PbI
1.0
-3.213 2.737 -4.867
2.351 -4.430 -4.044
-5.042 -3.776 1.205
Pb I Te Ba
1 1 2 1
direct
0.500 0.500 0.500
0.000 0.000 0.500
0.000 0.500 0.000
0.500 0.000 0.000
0.000 0.000 0.000
```

The space-group type is P4/mmm, No. 123.

---

Top of the stability list: run i, leading by 562 meV per atom.

---

Run i
VASP calculation (GGA-PBE) on BaTePbI2 after structural relaxation.

Cell and atoms, written as POSCAR:
```
BaTePbI2
1.0
-0.108 -6.084 0.448
5.375 -0.307 -2.873
2.973 0.354 5.524
Pb I Te Ba
1 2 1 1
direct
0.000 0.000 0.000
0.000 0.500 0.000
0.500 0.000 0.000
0.000 0.000 0.500
0.500 0.500 0.500
```

The space-group type is P4/mmm, No. 123.

---

Run ii
VASP calculation (GGA-PBE) on BaTePbI2 after structural relaxation.

Cell and atoms, written as POSCAR:
```
BaTePbI2
1.0
6.363 0.000 0.000
0.000 6.363 0.000
0.000 0.000 7.347
Pb I Te Ba
1 2 1 1
direct
0.500 0.500 0.500
0.000 0.500 0.000
0.500 0.000 0.000
0.000 0.000 0.500
0.000 0.000 0.000
```

The space-group type is P4/mmm, No. 123.

---

Top of the stability list: run i, leading by 418 meV per atom.

---

Run i
VASP calculation (GGA-PBE) on Ba4Pd2I after structural relaxation.

Cell and atoms, written as POSCAR:
```
Ba4Pd2I
1.0
-3.221 -3.090 1.327
0.180 -1.865 4.263
-10.270 10.440 7.545
Ba Pd I
4 2 1
direct
0.126 0.126 0.623
0.280 0.280 0.160
0.720 0.720 0.840
0.874 0.874 0.377
0.423 0.423 0.731
0.577 0.577 0.269
0.000 0.000 0.000
```

The space-group type is R-3m, No. 166.

---

Run ii
VASP calculation (GGA-PBE) on Ba4Pd2I after structural relaxation.

Cell and atoms, written as POSCAR:
```
Ba4Pd2I
1.0
-8.789 -3.485 2.842
4.488 -6.920 5.428
2.191 9.532 1.335
Ba Pd I
8 4 2
direct
0.857 0.142 0.284
0.393 0.608 0.215
0.858 0.573 0.716
0.858 0.143 0.715
0.428 0.143 0.285
0.392 0.177 0.785
0.392 0.607 0.785
0.822 0.607 0.215
0.625 0.375 0.750
0.625 0.875 0.250
0.625 0.375 0.250
0.125 0.375 0.750
0.249 0.749 0.500
0.001 0.001 0.000
```

The space-group type is Imma, No. 74.

---

Top of the stability list: run i, leading by 88 meV per atom.

---

Run i
VASP calculation (GGA-PBE) on Ba2PdI after structural relaxation.

Cell and atoms, written as POSCAR:
```
Ba2PdI
1.0
4.659 0.014 0.017
2.316 4.042 0.017
2.296 1.335 8.793
Ba Pd I
2 1 1
direct
0.735 0.735 0.797
0.265 0.265 0.203
0.000 0.000 0.000
0.500 0.500 0.500
```

The space-group type is R-3m, No. 166.

---

Run ii
VASP calculation (GGA-PBE) on Ba2PdI after structural relaxation.

Cell and atoms, written as POSCAR:
```
Ba2PdI
1.0
0.008 -5.002 3.066
-4.990 -2.019 2.333
-2.541 -4.802 -2.214
I Ba Pd
1 2 1
direct
0.500 0.500 0.500
0.250 0.250 0.250
0.750 0.750 0.750
0.000 0.000 0.000
```

The space-group type is Fm-3m, No. 225.

---

Top of the stability list: run i, leading by 237 meV per atom.